# 1
Compound: LaDy2ScAs4
Source: the Alexandria database
Functional: PBE
Structure: optimized geometry

CIF file:
```
data_LaDy2ScAs4
_chemical_formula_sum 'La1 Dy2 Sc1 As4'
_cell_length_a 7.148
_cell_length_b 4.140
_cell_length_c 7.163
_cell_angle_alpha 90.00
_cell_angle_beta 109.39
_cell_angle_gamma 90.00
_space_group_name_H-M_alt 'P 1 2/m 1'
_space_group_IT_number 10
_space_group_name_Hall '-P 2y'
loop_
_atom_site_label
_atom_site_type_symbol
_atom_site_fract_x
_atom_site_fract_y
_atom_site_fract_z
_atom_site_occupancy
La1 La 0.000 0.000 0.000 1
Dy1 Dy 0.000 0.500 0.500 1
Dy2 Dy 0.500 0.000 0.500 1
Sc1 Sc 0.500 0.500 0.000 1
As1 As 0.264 0.000 0.755 1
As2 As 0.264 0.500 0.255 1
```

Computed properties:
formation energy from the elements = -1.4543 eV per atom
total DFT energy (no corrections) = -50.7 eV/cell

=====

# 2
Compound: LaDyAsSe
Source: the Alexandria database
Functional: PBE
Structure: optimized geometry

CIF file:
```
data_LaDyAsSe
_chemical_formula_sum 'La3 Dy3 As3 Se3'
_cell_length_a 4.2140
_cell_length_b 4.2140
_cell_length_c 20.8030
_cell_angle_alpha 90.00
_cell_angle_beta 90.00
_cell_angle_gamma 120.00
_space_group_name_H-M_alt 'R 3 m'
_space_group_IT_number 160
_space_group_name_Hall 'R 3 -2"'
loop_
_atom_site_label
_atom_site_type_symbol
_atom_site_fract_x
_atom_site_fract_y
_atom_site_fract_z
_atom_site_occupancy
La1 La 0.0000 0.0000 0.0000 1
Dy1 Dy 0.0000 0.0000 0.5068 1
As1 As 0.0000 0.0000 0.2482 1
Se1 Se 0.0000 0.0000 0.7586 1
```

Computed properties:
raw formation energy = -1.77 eV/atom
total DFT energy (no corrections) = -74.2 eV/cell